# 1
# K3TlRu, optimized geometry, DFT GGA-PBE
data_K3TlRu
_space_group_name_H-M_alt 'P m -3 m'
_space_group_IT_number 221
_space_group_name_Hall '-P 4 2 3'
_cell_length_a 5.942
_cell_length_b 5.942
_cell_length_c 5.942
_cell_angle_alpha 90.00
_cell_angle_beta 90.00
_cell_angle_gamma 90.00
loop_
_atom_site_label
_atom_site_fract_x
_atom_site_fract_y
_atom_site_fract_z
_atom_site_occupancy
K1 0.000 0.000 0.500 1
Tl1 0.500 0.500 0.500 1
Ru1 0.000 0.000 0.000 1
# * ΔE to the lowest computed polymorph: 0 meV/atom
# * crystal system: cubic
# * calculated formation energy: 96.2 kJ per mole of atoms

=====

# 2
# NaEuSnHg, optimized geometry, DFT GGA-PBE
data_NaEuSnHg
_space_group_name_H-M_alt 'F -4 3 m'
_space_group_IT_number 216
_space_group_name_Hall 'F -4 2 3'
_cell_length_a 7.626
_cell_length_b 7.626
_cell_length_c 7.626
_cell_angle_alpha 90.00
_cell_angle_beta 90.00
_cell_angle_gamma 90.00
loop_
_atom_site_label
_atom_site_fract_x
_atom_site_fract_y
_atom_site_fract_z
_atom_site_occupancy
Na1 0.000 0.000 0.000 1
Eu1 0.000 0.000 0.500 1
Sn1 0.250 0.250 0.250 1
Hg1 0.250 0.250 0.750 1
# * crystal system: cubic
# * calculated formation energy: -41.0 kJ per mole of atoms

=====

# 3
# Tl2SbIr, optimized geometry, DFT GGA-PBE
data_Tl2SbIr
_space_group_name_H-M_alt 'I m m 2'
_space_group_IT_number 44
_space_group_name_Hall 'I 2 -2'
_cell_length_a 3.231
_cell_length_b 4.715
_cell_length_c 13.391
_cell_angle_alpha 90.00
_cell_angle_beta 90.00
_cell_angle_gamma 90.00
loop_
_atom_site_label
_atom_site_fract_x
_atom_site_fract_y
_atom_site_fract_z
_atom_site_occupancy
Tl1 0.000 0.000 0.000 1
Tl2 0.000 0.500 0.184 1
Sb1 0.000 0.000 0.370 1
Ir1 0.000 0.500 0.712 1
# * ΔE to the lowest computed polymorph: 110 meV/atom
# * crystal system: orthorhombic
# * uncorrected formation energy: 0.78 eV per formula unit

=====

# 4
# Ta2Te, optimized geometry, DFT GGA-PBE
data_Ta2Te
_space_group_name_H-M_alt 'P -3 m 1'
_space_group_IT_number 164
_space_group_name_Hall '-P 3 2"'
_cell_length_a 3.4012
_cell_length_b 3.4012
_cell_length_c 6.3248
_cell_angle_alpha 90.00
_cell_angle_beta 90.00
_cell_angle_gamma 120.00
loop_
_atom_site_label
_atom_site_fract_x
_atom_site_fract_y
_atom_site_fract_z
_atom_site_occupancy
Ta1 0.3333 0.6667 0.3486 1
Te1 0.0000 0.0000 0.0000 1
# * crystal system: trigonal
# * uncorrected formation energy: 0.83 eV per formula unit